1.
Computed, not measured: a geometry-optimized ZrCoS2N structure at the PBE level of DFT.

a = 4.6126 Å, b = 4.6126 Å, c = 3.4367 Å
α = 90.00°, β = 90.00°, γ = 90.00°
Last column: nearest neighbours and their distance in Å.
Fractional coordinates of all 5 atoms:
Zr  0.0000  0.0000  0.0000  8 S 2.88
Co  0.5000  0.5000  0.5000  2 N 1.72
S  0.0000  0.5000  0.5000  2 Co 2.31
S  0.5000  0.0000  0.5000  2 Co 2.31
N  0.5000  0.5000  0.0000  2 Co 1.72

magnetic moment = 0.00 μB/f.u.
formation energy from raw total energies = -173 meV per atom
energy above the most stable polymorph in this dataset = 0.0 meV per atom

2.
Computed, not measured: a geometry-optimized ZrCoS2N structure at the PBE level of DFT.

a = 5.0533 Å, b = 5.0533 Å, c = 4.0861 Å
α = 90.00°, β = 90.00°, γ = 90.00°
Last column: nearest neighbours and their distance in Å.
Fractional coordinates of all 5 atoms:
Zr  0.0000  0.0000  0.0000  2 N 2.04
Co  0.5000  0.5000  0.5000  8 S 3.25, 4 N 3.57
S  0.0000  0.5000  0.0000  2 Zr 2.53
S  0.5000  0.0000  0.0000  2 Zr 2.53
N  0.0000  0.0000  0.5000  2 Zr 2.04

magnetic moment = 3.78 μB/f.u.
formation energy from raw total energies = 375 meV per atom
energy above the most stable polymorph in this dataset = 547.5 meV per atom

3.
Computed, not measured: a geometry-optimized Co2SbN3 structure at the PBE level of DFT.

a = 9.0649 Å, b = 9.0649 Å, c = 7.5679 Å
α = 90.38°, β = 90.38°, γ = 144.95°
Last column: nearest neighbours and their distance in Å.
Fractional coordinates of all 24 atoms:
Co  0.0600  0.5851  0.8523  4 N 1.79-1.99
Co  0.1342  0.4859  0.5755  3 N 1.83-1.95
Co  0.4149  0.9400  0.6477  4 N 1.79-1.99
Co  0.4859  0.1342  0.0755  3 N 1.83-1.95
Co  0.5141  0.8658  0.9245  3 N 1.83-1.95
Co  0.5851  0.0600  0.3523  4 N 1.79-1.99
Co  0.8658  0.5141  0.4245  3 N 1.83-1.95
Co  0.9400  0.4149  0.1477  4 N 1.79-1.99
Sb  0.1543  0.2993  0.9176  3 N 2.05-2.10
Sb  0.2993  0.1543  0.4176  3 N 2.05-2.10
Sb  0.7007  0.8457  0.5824  3 N 2.05-2.10
Sb  0.8457  0.7007  0.0824  3 N 2.05-2.10
N  0.0639  0.6359  0.6203  4 Co 1.81-1.95
N  0.1395  0.8605  0.2500  2 Sb 2.10, 2 Co 2.26
N  0.1951  0.5462  0.0213  3 Co 1.79-1.99
N  0.3641  0.9361  0.8797  4 Co 1.81-1.95
N  0.3959  0.6041  0.7500  2 Sb 2.05, 2 Co 2.07
N  0.4538  0.8049  0.4787  3 Co 1.79-1.99
N  0.5462  0.1951  0.5213  3 Co 1.79-1.99
N  0.6041  0.3959  0.2500  2 Sb 2.05, 2 Co 2.07
N  0.6359  0.0639  0.1203  4 Co 1.81-1.95
N  0.8049  0.4538  0.9787  3 Co 1.79-1.99
N  0.8605  0.1395  0.7500  2 Sb 2.10, 2 Co 2.26
N  0.9361  0.3641  0.3797  4 Co 1.81-1.95

magnetic moment = 0.00 μB/f.u.
formation energy from raw total energies = 482 meV per atom

Question: Among the records above, which one has the highest formation energy from raw total energies?
Answer: Co2SbN3